No. 1
! Pm6PdAu5 (PBE, relaxed); values from VASP
! - Size of the total moment: 0.00 Bohr magnetons per cell
! - Formation energy from the elements: -9.33 eV/f.u.
&SYSTEM
  ibrav = 0, nat = 12, ntyp = 3
/
ATOMIC_SPECIES
Au 196.97 Au.upf
Pm 145.00 Pm.upf
Pd 106.42 Pd.upf
ATOMIC_POSITIONS crystal
Au 0.333 0.500 0.665
Au 0.332 0.000 0.663
Pm 0.500 0.754 0.000
Pm 0.836 0.751 0.671
Au 0.668 0.000 0.337
Au 0.000 0.500 0.000
Pm 0.164 0.249 0.329
Pd 0.000 0.000 0.000
Pm 0.500 0.246 0.000
Pm 0.836 0.249 0.671
Pm 0.164 0.751 0.329
Au 0.667 0.500 0.335
CELL_PARAMETERS angstrom
0.554 -4.163 -3.078
6.021 -1.949 3.720
-4.667 -2.123 6.440


No. 2
! PmPdAu2 (PBE, relaxed); values from VASP
! - Size of the total moment: 0.00 Bohr magnetons per cell
! - Energy above the most stable polymorph in this dataset: 0 meV per atom
! - Formation energy from the elements: -2.84 eV/f.u.
&SYSTEM
  ibrav = 0, nat = 8, ntyp = 3
/
ATOMIC_SPECIES
Au 196.97 Au.upf
Pm 145.00 Pm.upf
Pd 106.42 Pd.upf
ATOMIC_POSITIONS crystal
Au 0.369 0.737 0.445
Pm 0.074 0.147 0.250
Au 0.631 0.263 0.555
Pm 0.926 0.853 0.750
Au 0.631 0.263 0.945
Pd 0.781 0.558 0.250
Au 0.369 0.737 0.055
Pd 0.219 0.442 0.750
CELL_PARAMETERS angstrom
4.300 -0.441 0.000
-1.626 5.253 0.000
0.000 0.000 7.677


No. 3
! PmPdAu (PBE, relaxed); values from VASP
! - Size of the total moment: 0.00 Bohr magnetons per cell
! - Energy above the most stable polymorph in this dataset: 0 meV per atom
! - Formation energy from the elements: -2.37 eV/f.u.
&SYSTEM
  ibrav = 0, nat = 6, ntyp = 3
/
ATOMIC_SPECIES
Pd 106.42 Pd.upf
Au 196.97 Au.upf
Pm 145.00 Pm.upf
ATOMIC_POSITIONS crystal
Pd 0.852 0.636 0.660
Au 0.165 0.741 0.929
Pd 0.148 0.364 0.340
Pm 0.547 0.195 0.711
Au 0.835 0.259 0.071
Pm 0.453 0.805 0.289
CELL_PARAMETERS angstrom
-0.693 -3.437 2.109
4.691 -2.640 1.207
1.278 1.287 6.485


No. 4
! Pm3Pd8Au (PBE, relaxed); values from VASP
! - Size of the total moment: 0.00 Bohr magnetons per cell
! - Formation energy from the elements: -8.68 eV/f.u.
&SYSTEM
  ibrav = 0, nat = 12, ntyp = 3
/
ATOMIC_SPECIES
Au 196.97 Au.upf
Pd 106.42 Pd.upf
Pm 145.00 Pm.upf
ATOMIC_POSITIONS crystal
Au 0.869 0.869 0.392
Pd 0.188 0.188 0.436
Pd 0.437 0.942 0.183
Pm 0.510 0.510 0.471
Pm 0.378 0.378 0.866
Pd 0.942 0.437 0.183
Pd 0.938 0.437 0.687
Pd 0.688 0.688 0.936
Pd 0.938 0.938 0.687
Pd 0.437 0.437 0.183
Pd 0.437 0.938 0.687
Pm 0.987 0.987 0.038
CELL_PARAMETERS angstrom
-0.082 5.410 0.605
-4.191 2.395 2.517
2.818 1.790 8.876